# 1
LaZnCu | PBEsol | optimized geometry

Results
- space group = I4mm (107)
- magnetic moment (μB per formula unit) = 0.00
- E_form (eV/atom) = -0.10

Cell lengths 5.9730, 5.9730, 5.9730 Å; angles 148.63, 148.63, 44.96 degrees
Positions (direct):
La1 0.0000 0.0000 0.0000
Zn1 0.7068 0.7068 0.0000
Cu1 0.3050 0.3050 0.0000

=====

# 2
LaZn3Cu | PBEsol | optimized geometry

Results
- space group = Pm-3m (221)
- magnetic moment (μB per formula unit) = 0.00
- E_form (eV/atom) = -0.13

Cell lengths 4.5801, 4.5801, 4.5801 Å; angles 90.00, 90.00, 90.00 degrees
Positions (direct):
La1 0.0000 0.0000 0.0000
Zn1 0.0000 0.5000 0.5000
Zn2 0.5000 0.0000 0.5000
Zn3 0.5000 0.5000 0.0000
Cu1 0.5000 0.5000 0.5000

=====

# 3
La2ZrCu | PBEsol | optimized geometry

Results
- energy above the lowest structure with this stoichiometry (meV/atom) = 0
- space group = Cmmm (65)
- magnetic moment (μB per formula unit) = 0.00
- E_form (eV/atom) = 0.15

Cell lengths 5.4345, 5.4345, 3.3652 Å; angles 90.00, 90.00, 90.07 degrees
Positions (direct):
La1 0.0000 0.5000 0.0000
La2 0.5000 0.0000 0.0000
Zr1 0.0000 0.0000 0.5000
Cu1 0.5000 0.5000 0.5000

=====

# 4
La2ZrCu | PBEsol | optimized geometry

Results
- energy above the lowest structure with this stoichiometry (meV/atom) = 76
- space group = I-4m2 (119)
- magnetic moment (μB per formula unit) = 0.00
- E_form (eV/atom) = 0.22

Cell lengths 5.7350, 5.7350, 5.7350 Å; angles 134.10, 134.10, 66.94 degrees
Positions (direct):
La1 0.0000 0.0000 0.0000
La2 0.7500 0.2500 0.5000
Zr1 0.5000 0.5000 0.0000
Cu1 0.2500 0.7500 0.5000

=====

# 5
LaZrCu2 | PBEsol | optimized geometry

Results
- energy above the lowest structure with this stoichiometry (meV/atom) = 0
- space group = P4/mmm (123)
- magnetic moment (μB per formula unit) = 0.01
- E_form (eV/atom) = -0.07

Cell lengths 3.3463, 3.3463, 7.0058 Å; angles 90.00, 90.00, 90.00 degrees
Positions (direct):
La1 0.0000 0.0000 0.0000
Zr1 0.0000 0.0000 0.5000
Cu1 0.5000 0.5000 0.3048
Cu2 0.5000 0.5000 0.6952

=====

# 6
LaZrCu2 | PBEsol | optimized geometry

Results
- energy above the lowest structure with this stoichiometry (meV/atom) = 63
- space group = Amm2 (38)
- magnetic moment (μB per formula unit) = 0.00
- E_form (eV/atom) = -0.01

Cell lengths 4.2390, 5.7438, 5.7438 Å; angles 34.77, 90.00, 90.00 degrees
Positions (direct):
La1 0.0000 0.0000 0.0000
Zr1 0.5000 0.2934 0.2934
Cu1 0.0000 0.7281 0.7281
Cu2 0.5000 0.5994 0.5994

=====

# 7
LiCu3 | PBEsol | optimized geometry

Results
- space group = Pm-3m (221)
- magnetic moment (μB per formula unit) = 0.00
- E_form (eV/atom) = -0.01

Cell lengths 3.5667, 3.5667, 3.5667 Å; angles 90.00, 90.00, 90.00 degrees
Positions (direct):
Li1 0.0000 0.0000 0.0000
Cu1 0.0000 0.5000 0.5000
Cu2 0.5000 0.0000 0.5000
Cu3 0.5000 0.5000 0.0000

=====

# 8
LiCu3 | PBEsol | optimized geometry

Results
- space group = C2/m (12)
- magnetic moment (μB per formula unit) = 0.00
- E_form (eV/atom) = -0.01

Cell lengths 4.3950, 4.3950, 4.4033 Å; angles 98.68, 98.68, 33.15 degrees
Positions (direct):
Li1 0.0000 0.0000 0.0000
Cu1 0.2443 0.2443 0.7453
Cu2 0.5000 0.5000 0.5000
Cu3 0.7557 0.7557 0.2547

=====

# 9
LiCu3 | PBEsol | optimized geometry

Results
- space group = Pnma (62)
- magnetic moment (μB per formula unit) = 0.00
- E_form (eV/atom) = -0.01

Cell lengths 4.3553, 8.2866, 5.0901 Å; angles 90.00, 90.00, 90.00 degrees
Positions (direct):
Li1 0.0865 0.2500 0.1229
Li2 0.4135 0.7500 0.6229
Li3 0.5865 0.2500 0.3771
Li4 0.9135 0.7500 0.8771
Cu1 0.0954 0.2500 0.6288
Cu2 0.2416 0.5036 0.3756
Cu3 0.2416 0.9964 0.3756
Cu4 0.2584 0.0036 0.8756
Cu5 0.2584 0.4964 0.8756
Cu6 0.4046 0.7500 0.1288
Cu7 0.5954 0.2500 0.8712
Cu8 0.7416 0.5036 0.1244
Cu9 0.7416 0.9964 0.1244
Cu10 0.7584 0.0036 0.6244
Cu11 0.7584 0.4964 0.6244
Cu12 0.9046 0.7500 0.3712

=====

# 10
Li4Cu5 | PBEsol | optimized geometry

Results
- space group = I4/mmm (139)
- magnetic moment (μB per formula unit) = 0.00
- E_form (eV/atom) = 0.02

Cell lengths 5.8051, 5.8051, 5.8051 Å; angles 95.43, 95.43, 144.17 degrees
Positions (direct):
Li1 0.0000 0.3177 0.3177
Li2 0.0000 0.6823 0.6823
Li3 0.3177 0.0000 0.3177
Li4 0.6823 0.0000 0.6823
Cu1 0.0000 0.0000 0.0000
Cu2 0.3352 0.3352 0.6704
Cu3 0.3352 0.6648 0.0000
Cu4 0.6648 0.3352 0.0000
Cu5 0.6648 0.6648 0.3296

=====

# 11
LiCu3 | PBEsol | optimized geometry

Results
- space group = I4/mmm (139)
- magnetic moment (μB per formula unit) = 0.00
- E_form (eV/atom) = -0.01

Cell lengths 4.3756, 4.3756, 4.3756 Å; angles 131.90, 131.90, 70.38 degrees
Positions (direct):
Li1 0.0000 0.0000 0.0000
Cu1 0.2500 0.7500 0.5000
Cu2 0.5000 0.5000 0.0000
Cu3 0.7500 0.2500 0.5000

=====

# 12
LiCu3 | PBEsol | optimized geometry

Results
- space group = R-3m (166)
- magnetic moment (μB per formula unit) = 0.00
- E_form (eV/atom) = 0.01

Cell lengths 8.4983, 8.4983, 8.4983 Å; angles 17.14, 17.14, 17.14 degrees
Positions (direct):
Li1 0.0000 0.0000 0.0000
Cu1 0.2482 0.2482 0.2482
Cu2 0.5000 0.5000 0.5000
Cu3 0.7518 0.7518 0.7518

=====

# 13
LiCu5 | PBEsol | optimized geometry

Results
- energy above the lowest structure with this stoichiometry (meV/atom) = 0
- space group = P-62m (189)
- magnetic moment (μB per formula unit) = 0.00
- E_form (eV/atom) = -0.01

Cell lengths 4.3684, 4.3684, 4.1276 Å; angles 90.00, 90.00, 120.00 degrees
Positions (direct):
Li1 0.0000 0.0000 0.0000
Cu1 0.0000 0.6598 0.5000
Cu2 0.3333 0.6667 0.0000
Cu3 0.3402 0.3402 0.5000
Cu4 0.6598 0.0000 0.5000
Cu5 0.6667 0.3333 0.0000

=====

# 14
LiCu3 | PBEsol | optimized geometry

Results
- space group = P-6m2 (187)
- magnetic moment (μB per formula unit) = 0.00
- E_form (eV/atom) = 0.02

Cell lengths 2.5301, 2.5301, 8.4129 Å; angles 90.00, 90.00, 120.00 degrees
Positions (direct):
Li1 0.0000 0.0000 0.0000
Cu1 0.0000 0.0000 0.5000
Cu2 0.6667 0.3333 0.2549
Cu3 0.6667 0.3333 0.7451

=====

# 15
Li3Cu2 | PBEsol | optimized geometry

Results
- space group = R-3m (166)
- magnetic moment (μB per formula unit) = 0.00
- E_form (eV/atom) = 0.05

Cell lengths 11.2482, 11.2482, 11.2482 Å; angles 13.21, 13.21, 13.21 degrees
Positions (direct):
Li1 0.0000 0.0000 0.0000
Li2 0.2050 0.2050 0.2050
Li3 0.7950 0.7950 0.7950
Cu1 0.3977 0.3977 0.3977
Cu2 0.6023 0.6023 0.6023

=====

# 16
LiCu5 | PBEsol | optimized geometry

Results
- energy above the lowest structure with this stoichiometry (meV/atom) = 16
- space group = P4/mmm (123)
- magnetic moment (μB per formula unit) = 0.00
- E_form (eV/atom) = 0.01

Cell lengths 2.5010, 2.5010, 11.1229 Å; angles 90.00, 90.00, 90.00 degrees
Positions (direct):
Li1 0.0000 0.0000 0.0000
Cu1 0.0000 0.0000 0.3383
Cu2 0.0000 0.0000 0.6617
Cu3 0.5000 0.5000 0.1771
Cu4 0.5000 0.5000 0.5000
Cu5 0.5000 0.5000 0.8229

=====

# 17
LiCu5 | PBEsol | optimized geometry

Results
- energy above the lowest structure with this stoichiometry (meV/atom) = 6
- space group = Cm (8)
- magnetic moment (μB per formula unit) = 0.00
- E_form (eV/atom) = 0.00

Cell lengths 4.8304, 4.8304, 6.0761 Å; angles 104.88, 104.88, 30.03 degrees
Positions (direct):
Li1 0.0000 0.0000 0.0000
Cu1 0.2738 0.2738 0.0522
Cu2 0.3371 0.3371 0.6651
Cu3 0.6148 0.6148 0.7169
Cu4 0.6713 0.6713 0.3347
Cu5 0.9472 0.9472 0.3865

=====

# 18
LiCu3 | PBEsol | optimized geometry

Results
- space group = P6_3/mmc (194)
- magnetic moment (μB per formula unit) = 0.00
- E_form (eV/atom) = 0.00

Cell lengths 5.0374, 5.0374, 4.1498 Å; angles 90.00, 90.00, 120.00 degrees
Positions (direct):
Li1 0.3333 0.6667 0.2500
Li2 0.6667 0.3333 0.7500
Cu1 0.1658 0.3316 0.7500
Cu2 0.1658 0.8342 0.7500
Cu3 0.3316 0.1658 0.2500
Cu4 0.6684 0.8342 0.7500
Cu5 0.8342 0.1658 0.2500
Cu6 0.8342 0.6684 0.2500

=====

# 19
LiCu5 | PBEsol | optimized geometry

Results
- energy above the lowest structure with this stoichiometry (meV/atom) = 6
- space group = Amm2 (38)
- magnetic moment (μB per formula unit) = 0.00
- E_form (eV/atom) = 0.00

Cell lengths 4.1417, 6.7054, 6.7054 Å; angles 21.54, 90.00, 90.00 degrees
Positions (direct):
Li1 0.0000 0.0000 0.0000
Cu1 0.0000 0.3325 0.3325
Cu2 0.0000 0.6693 0.6693
Cu3 0.5000 0.2218 0.2218
Cu4 0.5000 0.5579 0.5579
Cu5 0.5000 0.8900 0.8900

=====

# 20
LiCu3 | PBEsol | optimized geometry

Results
- space group = Cmmm (65)
- magnetic moment (μB per formula unit) = 0.00
- E_form (eV/atom) = 0.03

Cell lengths 2.4517, 2.4517, 8.2400 Å; angles 90.00, 90.00, 109.41 degrees
Positions (direct):
Li1 0.0000 0.0000 0.0000
Cu1 0.0000 0.0000 0.5000
Cu2 0.5000 0.5000 0.2553
Cu3 0.5000 0.5000 0.7447

=====

# 21
LiCu5 | PBEsol | optimized geometry

Results
- energy above the lowest structure with this stoichiometry (meV/atom) = 75
- space group = F-43m (216)
- magnetic moment (μB per formula unit) = 0.00
- E_form (eV/atom) = 0.07

Cell lengths 4.7217, 4.7217, 4.7217 Å; angles 60.00, 60.00, 60.00 degrees
Positions (direct):
Li1 0.0000 0.0000 0.0000
Cu1 0.1255 0.6248 0.6248
Cu2 0.2500 0.2500 0.2500
Cu3 0.6248 0.1255 0.6248
Cu4 0.6248 0.6248 0.1255
Cu5 0.6248 0.6248 0.6248

=====

# 22
LiCu3 | PBEsol | optimized geometry

Results
- space group = Pmmm (47)
- magnetic moment (μB per formula unit) = 0.00
- E_form (eV/atom) = -0.01

Cell lengths 2.4685, 3.7008, 4.9737 Å; angles 90.00, 90.00, 90.00 degrees
Positions (direct):
Li1 0.0000 0.0000 0.0000
Cu1 0.0000 0.0000 0.5000
Cu2 0.5000 0.5000 0.2530
Cu3 0.5000 0.5000 0.7470

=====

# 23
LiCu3 | PBEsol | optimized geometry

Results
- space group = Fm-3m (225)
- magnetic moment (μB per formula unit) = 0.00
- E_form (eV/atom) = 0.01

Cell lengths 4.0109, 4.0109, 4.0109 Å; angles 60.00, 60.00, 60.00 degrees
Positions (direct):
Li1 0.0000 0.0000 0.0000
Cu1 0.2500 0.2500 0.2500
Cu2 0.5000 0.5000 0.5000
Cu3 0.7500 0.7500 0.7500

=====

# 24
LiCu5 | PBEsol | optimized geometry

Results
- energy above the lowest structure with this stoichiometry (meV/atom) = 77
- space group = P6/mmm (191)
- magnetic moment (μB per formula unit) = 0.00
- E_form (eV/atom) = 0.07

Cell lengths 4.7752, 4.7752, 4.0139 Å; angles 90.00, 90.00, 120.00 degrees
Positions (direct):
Li1 0.0000 0.0000 0.0000
Cu1 0.0000 0.5000 0.5000
Cu2 0.3333 0.6667 0.0000
Cu3 0.5000 0.0000 0.5000
Cu4 0.5000 0.5000 0.5000
Cu5 0.6667 0.3333 0.0000

=====

# 25
LiCu3 | PBEsol | optimized geometry

Results
- space group = Pmm2 (25)
- magnetic moment (μB per formula unit) = 0.00
- E_form (eV/atom) = -0.01

Cell lengths 2.5033, 4.1568, 4.3954 Å; angles 90.00, 90.00, 90.00 degrees
Positions (direct):
Li1 0.0000 0.0000 0.0000
Cu1 0.0000 0.5000 0.6698
Cu2 0.5000 0.0000 0.5021
Cu3 0.5000 0.5000 0.1743

=====

# 26
LiCu3 | PBEsol | optimized geometry

Results
- space group = Pmmn (59)
- magnetic moment (μB per formula unit) = 0.00
- E_form (eV/atom) = -0.01

Cell lengths 5.0465, 12.3832, 4.3711 Å; angles 90.00, 90.00, 90.00 degrees
Positions (direct):
Li1 0.2500 0.0843 0.1671
Li2 0.2500 0.4157 0.1671
Li3 0.2500 0.7500 0.4983
Li4 0.7500 0.2500 0.5017
Li5 0.7500 0.5843 0.8329
Li6 0.7500 0.9157 0.8329
Cu1 0.0009 0.5823 0.3330
Cu2 0.0008 0.7500 0.0007
Cu3 0.0009 0.9177 0.3330
Cu4 0.2500 0.2500 0.5077
Cu5 0.2500 0.5839 0.8332
Cu6 0.2500 0.9161 0.8332
Cu7 0.4991 0.5823 0.3330
Cu8 0.4992 0.7500 0.0007
Cu9 0.4991 0.9177 0.3330
Cu10 0.5009 0.0823 0.6670
Cu11 0.5008 0.2500 0.9993
Cu12 0.5009 0.4177 0.6670
Cu13 0.7500 0.0839 0.1668
Cu14 0.7500 0.4161 0.1668
Cu15 0.7500 0.7500 0.4923
Cu16 0.9991 0.0823 0.6670
Cu17 0.9992 0.2500 0.9993
Cu18 0.9991 0.4177 0.6670

=====

# 27
Li2Cu3 | PBEsol | optimized geometry

Results
- space group = R-3m (166)
- magnetic moment (μB per formula unit) = 0.00
- E_form (eV/atom) = 0.02

Cell lengths 10.6825, 10.6825, 10.6825 Å; angles 13.69, 13.69, 13.69 degrees
Positions (direct):
Li1 0.0987 0.0987 0.0987
Li2 0.9013 0.9013 0.9013
Cu1 0.3008 0.3008 0.3008
Cu2 0.5000 0.5000 0.5000
Cu3 0.6992 0.6992 0.6992